HoUMnO6 after structural relaxation, computed with GGA+U.

extended XYZ file:
```
18
Lattice="5.6678 0.0000 0.0000 -2.8339 4.9084 0.0000 0.0000 0.0000 8.7657" Properties=species:S:1:pos:R:3 pbc="T T T"
U 0.0000 3.2723 6.5743
U 2.8339 1.6361 2.1914
Ho 0.0000 3.2723 2.1914
Ho 2.8339 1.6361 6.5743
O 0.9495 4.7874 7.6458
O 4.6208 1.5714 1.1199
O -1.7869 3.3370 7.6458
O 3.7834 0.1210 3.2629
O 1.9965 3.2160 1.1199
O 3.6713 3.2160 3.2629
O -0.8374 1.6924 5.5027
O 0.8374 1.6924 7.6458
O 1.8844 0.1210 1.1199
O -0.9495 4.7874 5.5027
O 1.7869 3.3370 5.5027
O 1.0470 1.5714 3.2629
Mn 0.0000 0.0000 0.0000
Mn 0.0000 0.0000 4.3828
```

Magnetic moment   4.00 μB per formula unit
Total energy   -8.522 eV/atom